Compound: TaMo
Source: Alexandria via LeMat-Bulk
Functional: PBE
Structure: relaxed

Output
* E_form: 0.640 eV per atom
* space group: Fddd
* calculated volume: 18.29 Å³ per atom
* crystal system: orthorhombic

Cell: 7.2756 7.8806 10.2088 Å, 90.00 90.00 90.00°
Atoms (fractional coordinates):
Ta 0.2500 0.9373 0.7500
Ta 0.0000 0.8127 0.5000
Ta 0.2500 0.4373 0.2500
Ta 0.7500 0.0627 0.7500
Ta 0.0000 0.6873 0.0000
Ta 0.2500 0.5627 0.7500
Ta 0.7500 0.5627 0.2500
Ta 0.7500 0.4373 0.7500
Ta 0.2500 0.0627 0.2500
Ta 0.0000 0.3127 0.0000
Ta 0.5000 0.6873 0.5000
Ta 0.5000 0.3127 0.5000
Ta 0.5000 0.1873 0.0000
Ta 0.5000 0.8127 0.0000
Ta 0.7500 0.9373 0.2500
Ta 0.0000 0.1873 0.5000
Mo 0.0635 0.7500 0.2500
Mo 0.8135 0.0000 0.0000
Mo 0.3135 0.0000 0.5000
Mo 0.5635 0.2500 0.2500
Mo 0.4365 0.7500 0.2500
Mo 0.0635 0.2500 0.7500
Mo 0.6865 0.0000 0.5000
Mo 0.3135 0.5000 0.0000
Mo 0.1865 0.0000 0.0000
Mo 0.1865 0.5000 0.5000
Mo 0.9365 0.2500 0.2500
Mo 0.6865 0.5000 0.0000
Mo 0.4365 0.2500 0.7500
Mo 0.8135 0.5000 0.5000
Mo 0.9365 0.7500 0.7500
Mo 0.5635 0.7500 0.7500

Compound: AlBiS2N
Source: Alexandria via LeMat-Bulk
Functional: PBE
Structure: relaxed

Output
* relative energy among the computed polymorphs: 1.004 eV per atom
* space group: P4/mmm
* calculated volume: 24.06 Å³ per atom
* crystal system: tetragonal

Cell: 5.2636 5.2636 4.3418 Å, 90.00 90.00 90.00°
Atoms (fractional coordinates):
Bi 0.0000 0.0000 0.0000
N 0.0000 0.0000 0.5000
S 0.5000 0.0000 0.0000
S 0.0000 0.5000 0.0000
Al 0.5000 0.5000 0.5000

Compound: NiHRh2Au
Source: Alexandria via LeMat-Bulk
Functional: PBE
Structure: relaxed

Output
* relative energy among the computed polymorphs: 0.000 eV per atom
* space group: P4/mmm
* calculated volume: 12.03 Å³ per atom
* crystal system: tetragonal

Cell: 3.9235 3.9235 3.9082 Å, 90.00 90.00 90.00°
Atoms (fractional coordinates):
Au 0.5000 0.5000 0.5000
Ni 0.0000 0.0000 0.5000
H 0.0000 0.0000 0.0000
Rh 0.0000 0.5000 0.0000
Rh 0.5000 0.0000 0.0000